Record 1
Compound: NaSiAu2S
Source: Alexandria
Functional: GGA-PBEsol
Structure: relaxed

Results
raw total energy: -0.18272 Ry per atom
volume: 22.4 Å³ per atom
energy relative to the elements, uncorrected: 1.3896 eV/atom

Unit cell a=4.737 b=4.737 c=4.994 alpha=90.00 beta=90.00 gamma=90.00
Space group P4/mmm (No. 123)
Inequivalent atoms, fractional coordinates:
Na (0.000, 0.000, 0.000)
Si (0.000, 0.000, 0.500)
Au (0.000, 0.500, 0.000)
S (0.500, 0.500, 0.500)

Record 2
Compound: Na2SbAu
Source: Alexandria
Functional: GGA-PBEsol
Structure: relaxed

Results
raw total energy: -0.23854 Ry per atom
volume: 25.0 Å³ per atom
energy relative to the elements, uncorrected: -0.4253 eV/atom

Unit cell a=9.258 b=7.472 c=5.789 alpha=90.00 beta=90.00 gamma=90.00
Space group Cmcm (No. 63)
Inequivalent atoms, fractional coordinates:
Na (0.179, 0.166, 0.250)
Sb (0.000, 0.200, 0.750)
Au (0.000, 0.500, 0.000)

Record 3
Compound: NaSb2Au2
Source: Alexandria
Functional: GGA-PBEsol
Structure: relaxed

Results
raw total energy: -0.27812 Ry per atom
volume: 25.2 Å³ per atom
relative energy among the computed polymorphs: 27 meV/atom
energy relative to the elements, uncorrected: -0.1115 eV/atom

Unit cell a=4.906 b=4.906 c=10.490 alpha=90.00 beta=90.00 gamma=90.00
Space group I4/mmm (No. 139)
Inequivalent atoms, fractional coordinates:
Na (0.000, 0.000, 0.000)
Sb (0.000, 0.500, 0.250)
Au (0.000, 0.000, 0.371)

Record 4
Compound: NaSb2Au2
Source: Alexandria
Functional: GGA-PBEsol
Structure: relaxed

Results
raw total energy: -0.28012 Ry per atom
volume: 25.1 Å³ per atom
relative energy among the computed polymorphs: 0 meV/atom
energy relative to the elements, uncorrected: -0.1387 eV/atom

Unit cell a=4.663 b=4.663 c=11.538 alpha=90.00 beta=90.00 gamma=90.00
Space group I4/mmm (No. 139)
Inequivalent atoms, fractional coordinates:
Na (0.000, 0.000, 0.000)
Sb (0.000, 0.000, 0.377)
Au (0.000, 0.500, 0.250)

Record 5
Compound: NaSb2Au
Source: Alexandria
Functional: GGA-PBEsol
Structure: relaxed

Results
raw total energy: -0.26354 Ry per atom
volume: 22.7 Å³ per atom
relative energy among the computed polymorphs: 173 meV/atom
energy relative to the elements, uncorrected: 0.0240 eV/atom

Unit cell a=7.140 b=7.140 c=7.140 alpha=90.00 beta=90.00 gamma=90.00
Space group Fm-3m (No. 225)
Inequivalent atoms, fractional coordinates:
Na (0.000, 0.000, 0.000)
Sb (0.250, 0.250, 0.250)
Au (0.000, 0.000, 0.500)

Record 6
Compound: NaSb2Au
Source: Alexandria
Functional: GGA-PBEsol
Structure: relaxed

Results
raw total energy: -0.27627 Ry per atom
volume: 25.8 Å³ per atom
relative energy among the computed polymorphs: 0 meV/atom
energy relative to the elements, uncorrected: -0.1493 eV/atom

Unit cell a=8.429 b=8.429 c=5.800 alpha=90.00 beta=90.00 gamma=90.00
Space group I-42d (No. 122)
Inequivalent atoms, fractional coordinates:
Na (0.000, 0.000, 0.000)
Sb (0.184, 0.250, 0.625)
Au (0.000, 0.000, 0.500)

Record 7
Compound: Na2ScAu
Source: Alexandria
Functional: GGA-PBEsol
Structure: relaxed

Results
raw total energy: -0.22995 Ry per atom
volume: 25.7 Å³ per atom

Unit cell a=8.676 b=8.676 c=5.452 alpha=90.00 beta=90.00 gamma=90.00
Space group I-42d (No. 122)
Inequivalent atoms, fractional coordinates:
Na (0.194, 0.250, 0.125)
Sc (0.000, 0.000, 0.500)
Au (0.000, 0.000, 0.000)

Record 8
Compound: NaAuSe
Source: Alexandria
Functional: GGA-PBEsol
Structure: relaxed

Results
raw total energy: -0.26704 Ry per atom
volume: 25.2 Å³ per atom
energy relative to the elements, uncorrected: -0.5753 eV/atom

Unit cell a=9.718 b=5.752 c=5.412 alpha=90.00 beta=90.00 gamma=90.00
Space group Pnma (No. 62)
Inequivalent atoms, fractional coordinates:
Na (0.135, 0.250, 0.041)
Au (0.000, 0.000, 0.500)
Se (0.132, 0.750, 0.219)

Record 9
Compound: Na5AuSe12
Source: Alexandria
Functional: GGA-PBEsol
Structure: relaxed

Results
raw total energy: -0.26895 Ry per atom
volume: 25.7 Å³ per atom
energy relative to the elements, uncorrected: -0.4856 eV/atom

Unit cell a=7.112 b=16.547 c=8.195 alpha=90.00 beta=106.42 gamma=90.00
Space group P2_1 (No. 4)
Inequivalent atoms, fractional coordinates:
Na (0.126, 0.000, 0.103)
Na (0.214, 0.223, 0.350)
Na (0.221, 0.803, 0.013)
Na (0.291, 0.442, 0.573)
Na (0.336, 0.624, 0.284)
Au (0.210, 0.215, 0.841)
Se (0.004, 0.655, 0.429)
Se (0.046, 0.350, 0.758)
Se (0.049, 0.412, 0.223)
Se (0.100, 0.642, 0.930)
Se (0.152, 0.024, 0.564)
Se (0.221, 0.814, 0.487)
Se (0.308, 0.412, 0.093)
Se (0.376, 0.616, 0.828)
Se (0.378, 0.082, 0.909)
Se (0.393, 0.054, 0.420)
Se (0.427, 0.275, 0.109)
Se (0.478, 0.794, 0.359)

Record 10
Compound: Na2SiAu
Source: Alexandria
Functional: GGA-PBEsol
Structure: relaxed

Results
raw total energy: -0.22695 Ry per atom
volume: 36.2 Å³ per atom
energy relative to the elements, uncorrected: 0.0297 eV/atom

Unit cell a=11.289 b=11.289 c=4.543 alpha=90.00 beta=90.00 gamma=90.00
Space group I4_1/amd (No. 141, origin choice 2)
Inequivalent atoms, fractional coordinates:
Na (0.000, 0.000, 0.000)
Si (0.000, 0.250, 0.375)
Au (0.000, 0.250, 0.875)

Record 11
Compound: Na2Si2Au
Source: Alexandria
Functional: GGA-PBEsol
Structure: relaxed

Results
raw total energy: -0.24455 Ry per atom
volume: 19.0 Å³ per atom
relative energy among the computed polymorphs: 512 meV/atom
energy relative to the elements, uncorrected: 0.3162 eV/atom

Unit cell a=3.831 b=3.831 c=12.974 alpha=90.00 beta=90.00 gamma=90.00
Space group I4/mmm (No. 139)
Inequivalent atoms, fractional coordinates:
Na (0.000, 0.500, 0.250)
Si (0.000, 0.000, 0.084)
Au (0.000, 0.000, 0.500)

Record 12
Compound: NaSiAu3
Source: Alexandria
Functional: GGA-PBEsol
Structure: relaxed

Results
raw total energy: -0.19125 Ry per atom
volume: 21.8 Å³ per atom
relative energy among the computed polymorphs: 1460 meV/atom
energy relative to the elements, uncorrected: 1.1816 eV/atom

Unit cell a=4.780 b=4.780 c=4.780 alpha=90.00 beta=90.00 gamma=90.00
Space group Pm-3m (No. 221)
Inequivalent atoms, fractional coordinates:
Na (0.000, 0.000, 0.000)
Si (0.500, 0.500, 0.500)
Au (0.000, 0.000, 0.500)

Record 13
Compound: Na2Si2Au
Source: Alexandria
Functional: GGA-PBEsol
Structure: relaxed

Results
raw total energy: -0.28217 Ry per atom
volume: 19.4 Å³ per atom
relative energy among the computed polymorphs: 0 meV/atom
energy relative to the elements, uncorrected: -0.1957 eV/atom

Unit cell a=6.295 b=6.295 c=4.901 alpha=90.00 beta=90.00 gamma=90.00
Space group P4/mbm (No. 127)
Inequivalent atoms, fractional coordinates:
Na (0.178, 0.322, 0.000)
Si (0.130, 0.630, 0.500)
Au (0.000, 0.000, 0.500)

Record 14
Compound: NaSiAu3
Source: Alexandria
Functional: GGA-PBEsol
Structure: relaxed

Results
raw total energy: -0.29855 Ry per atom
volume: 17.4 Å³ per atom
relative energy among the computed polymorphs: 0 meV/atom
energy relative to the elements, uncorrected: -0.2782 eV/atom

Unit cell a=8.865 b=8.865 c=8.865 alpha=90.00 beta=90.00 gamma=90.00
Space group Pa-3 (No. 205)
Inequivalent atoms, fractional coordinates:
Na (0.096, 0.096, 0.096)
Si (0.120, 0.620, 0.880)
Au (0.091, 0.726, 0.134)

Record 15
Compound: NaZrSiAu2
Source: Alexandria
Functional: GGA-PBEsol
Structure: relaxed

Results
raw total energy: -0.26751 Ry per atom
volume: 21.1 Å³ per atom
energy relative to the elements, uncorrected: 1.1772 eV/atom

Unit cell a=4.575 b=4.575 c=5.052 alpha=90.00 beta=90.00 gamma=90.00
Space group P4/mmm (No. 123)
Inequivalent atoms, fractional coordinates:
Na (0.000, 0.000, 0.000)
Zr (0.000, 0.000, 0.500)
Si (0.500, 0.500, 0.500)
Au (0.000, 0.500, 0.000)

Record 16
Compound: NaSnAu
Source: Alexandria
Functional: GGA-PBEsol
Structure: relaxed

Results
raw total energy: -0.26086 Ry per atom
volume: 22.9 Å³ per atom

Unit cell a=7.476 b=4.570 c=8.029 alpha=90.00 beta=90.00 gamma=90.00
Space group Pnma (No. 62)
Inequivalent atoms, fractional coordinates:
Na (0.015, 0.250, 0.173)
Sn (0.163, 0.250, 0.565)
Au (0.206, 0.750, 0.379)

Record 17
Compound: NaSnAu3
Source: Alexandria
Functional: GGA-PBEsol
Structure: relaxed

Results
raw total energy: -0.20176 Ry per atom
volume: 23.0 Å³ per atom

Unit cell a=4.866 b=4.866 c=4.866 alpha=90.00 beta=90.00 gamma=90.00
Space group Pm-3m (No. 221)
Inequivalent atoms, fractional coordinates:
Na (0.000, 0.000, 0.000)
Sn (0.500, 0.500, 0.500)
Au (0.000, 0.000, 0.500)

Record 18
Compound: NaSr3Au
Source: Alexandria
Functional: GGA-PBEsol
Structure: relaxed

Results
raw total energy: -0.18132 Ry per atom
volume: 44.6 Å³ per atom

Unit cell a=6.062 b=6.062 c=6.062 alpha=90.00 beta=90.00 gamma=90.00
Space group Pm-3m (No. 221)
Inequivalent atoms, fractional coordinates:
Na (0.000, 0.000, 0.000)
Sr (0.000, 0.500, 0.500)
Au (0.500, 0.500, 0.500)

Record 19
Compound: Na2SrAu2
Source: Alexandria
Functional: GGA-PBEsol
Structure: relaxed

Results
raw total energy: -0.21196 Ry per atom
volume: 25.6 Å³ per atom

Unit cell a=4.291 b=4.291 c=13.893 alpha=90.00 beta=90.00 gamma=90.00
Space group I4/mmm (No. 139)
Inequivalent atoms, fractional coordinates:
Na (0.000, 0.500, 0.250)
Sr (0.000, 0.000, 0.000)
Au (0.000, 0.000, 0.403)

Record 20
Compound: Na2SrTlAu
Source: Alexandria
Functional: GGA-PBEsol
Structure: relaxed

Results
raw total energy: -0.09610 Ry per atom
volume: 47.0 Å³ per atom

Unit cell a=6.263 b=6.263 c=5.993 alpha=90.00 beta=90.00 gamma=90.00
Space group P4/mmm (No. 123)
Inequivalent atoms, fractional coordinates:
Na (0.000, 0.500, 0.000)
Sr (0.000, 0.000, 0.000)
Tl (0.000, 0.000, 0.500)
Au (0.500, 0.500, 0.500)

Magnetization for the records above, in order: 0.0, 0.0, 0.0, 0.0, 0.0, 0.0, 0.0, 0.0, 0.0, 0.0, 0.0, 0.0, 0.0, 0.0, 0.0, 0.0, 0.0, 0.0, 0.0, 0.0 Bohr magnetons per cell